1.
Below is a relaxed structure of Mo2Pb2Cl2O5, with properties calculated at the PBE with a Hubbard U level.

a = 12.568 Å, b = 12.568 Å, c = 12.568 Å
α = 161.10°, β = 161.10°, γ = 26.86°
Atoms (fractional coordinates):
Mo1 0.077 0.077 0.000
Mo2 0.923 0.923 0.000
Pb1 0.347 0.347 0.000
Pb2 0.653 0.653 0.000
Cl1 0.192 0.192 0.000
Cl2 0.808 0.808 0.000
O1 0.000 0.000 0.000
O2 0.093 0.593 0.500
O3 0.407 0.907 0.500
O4 0.593 0.093 0.500
O5 0.907 0.407 0.500

## Properties
space group = I4/mmm (139)
calculated density = 6.0 Mg/m³

***

2.
Below is a relaxed structure of PrNpCr2O6, with properties calculated at the PBE with a Hubbard U level.

a = 5.562 Å, b = 5.562 Å, c = 5.496 Å
α = 119.53°, β = 119.53°, γ = 60.26°
Atoms (fractional coordinates):
Pr1 0.000 0.000 0.000
Np1 0.529 0.471 0.500
Cr1 0.264 0.236 0.750
Cr2 0.764 0.736 0.250
O1 0.115 0.885 0.500
O2 0.422 0.578 0.000
O3 0.565 0.048 0.062
O4 0.567 0.046 0.553
O5 0.952 0.435 0.938
O6 0.954 0.433 0.447

## Properties
space group = C2 (5)
calculated density = 7.9 Mg/m³

***

Energy values (in eV per atom) by entry order: -5.91; -8.74.